The following is a DFT calculation (PBE) of Pm3DySc6 after structural relaxation.

Values from the calculation:
**E_form**: 0.408 eV/atom
**Symmetry**: R3 (146)
**Volume**: 28.430 Å³ per atom
**Energy relative to the lowest polymorph listed for this composition**: 0.225 eV/atom
**Electronic total energy**: -5.277 eV/atom
**Fermi-level density of states**: 2.058 states/eV per atom

abc: 9.3453 9.3453 6.5758
angles: 44.72 44.72 60.00
Atoms (fractional coordinates):
Sc  0.2709  0.9262  0.2008
Dy  0.8503  0.8503  0.4490
Sc  0.6020  0.2709  0.2008
Sc  0.9262  0.6020  0.2008
Pm  0.3504  0.3504  0.9488
Pm  0.1003  0.1003  0.6991
Sc  0.4287  0.7733  0.7005
Sc  0.7733  0.0974  0.7005
Sc  0.0974  0.4287  0.7005
Pm  0.6003  0.6003  0.1990